[1]
# Ce2SmTe2Se2

Ce2SmTe2Se2 after structural relaxation (PBE, Alexandria).

a = 5.436 Å, b = 5.436 Å, c = 16.033 Å
α = 90.00°, β = 90.00°, γ = 90.00°
Space group I4/mmm (No. 139)
One atom of each set of equivalent atoms:
Ce1 0.000 0.000 0.117 (multiplicity 4)
Sm1 0.000 0.000 0.500 (multiplicity 2)
Te1 0.000 0.000 0.311 (multiplicity 4)
Se1 0.000 0.500 0.000 (multiplicity 4)

Output
Its electronic total energy is -77.882 eV for the cell shown. The density of states at the Fermi level comes out at 29.4 states/eV/cell. The calculation puts the uncorrected formation energy at -1.3002 eV per atom. The calculation puts the volume at 473.8 Å³ per cell.

***

[2]
# Tl2GeW

Tl2GeW after structural relaxation (PBE, Alexandria).

a = 7.132 Å, b = 7.132 Å, c = 7.132 Å
α = 90.00°, β = 90.00°, γ = 90.00°
Space group Fm-3m (No. 225)
One atom of each set of equivalent atoms:
Tl1 0.250 0.250 0.250 (multiplicity 8)
Ge1 0.000 0.000 0.000 (multiplicity 4)
W1 0.000 0.000 0.500 (multiplicity 4)

Output
Its electronic total energy is -69.921 eV for the cell shown. The density of states at the Fermi level comes out at 15.0 states/eV/cell. Its energy of formation is 1.2057 eV per atom. The calculation puts the volume at 362.7 Å³ per cell. The value obtained for the energy above the most stable polymorph in this dataset is 153 meV/atom.

***

[3]
# CeMgPtPb

CeMgPtPb after structural relaxation (PBE, Alexandria).

a = 7.184 Å, b = 7.184 Å, c = 7.184 Å
α = 90.00°, β = 90.00°, γ = 90.00°
Space group F-43m (No. 216)
One atom of each set of equivalent atoms:
Ce1 0.000 0.000 0.000 (multiplicity 4)
Mg1 0.000 0.000 0.500 (multiplicity 4)
Pt1 0.250 0.250 0.750 (multiplicity 4)
Pb1 0.250 0.250 0.250 (multiplicity 4)

Output
Its electronic total energy is -77.507 eV for the cell shown. The density of states at the Fermi level comes out at 19.7 states/eV/cell. Its energy of formation is -0.5248 eV per atom. The calculation puts the volume at 370.8 Å³ per cell.

***

[4]
# Y3GaRu2

Y3GaRu2 after structural relaxation (PBE, Alexandria).

a = 3.476 Å, b = 3.476 Å, c = 10.435 Å
α = 90.00°, β = 90.00°, γ = 90.00°
Space group P4/mmm (No. 123)
One atom of each set of equivalent atoms:
Y1 0.000 0.000 0.000 (multiplicity 1)
Y2 0.000 0.000 0.320 (multiplicity 2)
Ga1 0.500 0.500 0.500 (multiplicity 1)
Ru1 0.500 0.500 0.166 (multiplicity 2)

Output
Its electronic total energy is -43.601 eV for the cell shown. The density of states at the Fermi level comes out at 4.0 states/eV/cell. Its energy of formation is -0.4384 eV per atom. The calculation puts the volume at 126.1 Å³ per cell.

***

[5]
# NdSm3Cl

NdSm3Cl after structural relaxation (PBE, Alexandria).

a = 5.431 Å, b = 5.431 Å, c = 5.431 Å
α = 90.00°, β = 90.00°, γ = 90.00°
Space group Pm-3m (No. 221)
One atom of each set of equivalent atoms:
Nd1 0.000 0.000 0.000 (multiplicity 1)
Sm1 0.000 0.500 0.500 (multiplicity 3)
Cl1 0.500 0.500 0.500 (multiplicity 1)

Output
Its electronic total energy is -23.250 eV for the cell shown. The density of states at the Fermi level comes out at 4.5 states/eV/cell. The calculation puts the uncorrected formation energy at -0.4957 eV per atom. The calculation puts the volume at 160.2 Å³ per cell.

***

[6]
# VTe2Pt

VTe2Pt after structural relaxation (PBE, Alexandria).

a = 6.864 Å, b = 6.864 Å, c = 6.864 Å
α = 90.00°, β = 90.00°, γ = 90.00°
Space group Fm-3m (No. 225)
One atom of each set of equivalent atoms:
V1 0.000 0.000 0.000 (multiplicity 4)
Te1 0.250 0.250 0.250 (multiplicity 8)
Pt1 0.000 0.000 0.500 (multiplicity 4)

Output
Its electronic total energy is -82.278 eV for the cell shown. The density of states at the Fermi level comes out at 26.9 states/eV/cell. The calculation puts the uncorrected formation energy at 0.2183 eV per atom. The calculation puts the volume at 323.4 Å³ per cell. The value obtained for the energy above the most stable polymorph in this dataset is 217 meV/atom.

***

[7]
# Nd2ErTmBi4

Nd2ErTmBi4 after structural relaxation (PBE, Alexandria).

a = 7.827 Å, b = 4.532 Å, c = 7.845 Å
α = 90.00°, β = 109.51°, γ = 90.00°
Space group P2/m (No. 10)
One atom of each set of equivalent atoms:
Nd1 0.000 0.000 0.000 (multiplicity 1)
Nd2 0.000 0.500 0.500 (multiplicity 1)
Er1 0.500 0.000 0.500 (multiplicity 1)
Tm1 0.500 0.500 0.000 (multiplicity 1)
Bi1 0.261 0.500 0.253 (multiplicity 2)
Bi2 0.262 0.000 0.754 (multiplicity 2)

Output
Its electronic total energy is -41.050 eV for the cell shown. The density of states at the Fermi level comes out at 1.2 states/eV/cell. Its energy of formation is -0.8695 eV per atom. The calculation puts the volume at 262.3 Å³ per cell.

***

[8]
# PmDy3Y7

PmDy3Y7 after structural relaxation (PBE, Alexandria).

a = 6.931 Å, b = 5.564 Å, c = 10.000 Å
α = 90.00°, β = 109.46°, γ = 90.00°
Space group P2/m (No. 10)
One atom of each set of equivalent atoms:
Pm1 0.000 0.000 0.000 (multiplicity 1)
Dy1 0.278 0.500 0.497 (multiplicity 2)
Dy2 0.500 0.000 0.000 (multiplicity 1)
Y1 0.000 0.000 0.500 (multiplicity 1)
Y2 0.147 0.500 0.788 (multiplicity 2)
Y3 0.321 0.500 0.139 (multiplicity 2)
Y4 0.423 0.000 0.331 (multiplicity 2)

Output
Its electronic total energy is -62.223 eV for the cell shown. The density of states at the Fermi level comes out at 19.0 states/eV/cell. Its energy of formation is 0.1438 eV per atom. The calculation puts the volume at 363.6 Å³ per cell. The value obtained for the energy above the most stable polymorph in this dataset is 0 meV/atom.

***

[9]
# Tb9Er2Tm

Tb9Er2Tm after structural relaxation (PBE, Alexandria).

a = 5.006 Å, b = 5.006 Å, c = 15.005 Å
α = 90.00°, β = 90.00°, γ = 90.00°
Space group P4/mmm (No. 123)
One atom of each set of equivalent atoms:
Tb1 0.000 0.000 0.000 (multiplicity 1)
Tb2 0.000 0.000 0.333 (multiplicity 2)
Tb3 0.000 0.500 0.166 (multiplicity 4)
Tb4 0.000 0.500 0.500 (multiplicity 2)
Er1 0.500 0.500 0.333 (multiplicity 2)
Tm1 0.500 0.500 0.000 (multiplicity 1)

Output
Its electronic total energy is -55.030 eV for the cell shown. The density of states at the Fermi level comes out at 17.8 states/eV/cell. Its energy of formation is 0.0200 eV per atom. The calculation puts the volume at 376.0 Å³ per cell. The value obtained for the energy above the most stable polymorph in this dataset is 0 meV/atom.

***

[10]
# CoHgBi2I

CoHgBi2I after structural relaxation (PBE, Alexandria).

a = 6.004 Å, b = 6.004 Å, c = 5.781 Å
α = 90.00°, β = 90.00°, γ = 90.00°
Space group P4/mmm (No. 123)
One atom of each set of equivalent atoms:
Co1 0.000 0.000 0.000 (multiplicity 1)
Hg1 0.500 0.500 0.000 (multiplicity 1)
Bi1 0.000 0.500 0.500 (multiplicity 2)
I1 0.500 0.500 0.500 (multiplicity 1)

Output
Its electronic total energy is -9.387 eV for the cell shown. The density of states at the Fermi level comes out at 7.0 states/eV/cell. The calculation puts the uncorrected formation energy at 1.4665 eV per atom. The calculation puts the volume at 208.4 Å³ per cell.

***

[11]
# Rb2TmTiS4

Rb2TmTiS4 after structural relaxation (PBE, Alexandria).

a = 7.342 Å, b = 7.342 Å, c = 9.592 Å
α = 90.00°, β = 90.00°, γ = 90.00°
Space group I-4 (No. 82)
One atom of each set of equivalent atoms:
Rb1 0.000 0.000 0.000 (multiplicity 2)
Rb2 0.000 0.500 0.250 (multiplicity 2)
Tm1 0.000 0.500 0.750 (multiplicity 2)
Ti1 0.000 0.000 0.500 (multiplicity 2)
S1 0.153 0.761 0.617 (multiplicity 8)

Output
Its electronic total energy is -84.188 eV for the cell shown. The density of states at the Fermi level comes out at 10.3 states/eV/cell. The calculation puts the uncorrected formation energy at -1.4103 eV per atom. The calculation puts the volume at 517.1 Å³ per cell.

***

[12]
# Sn2Pb5

Sn2Pb5 after structural relaxation (PBE, Alexandria).

a = 3.529 Å, b = 3.529 Å, c = 34.375 Å
α = 90.00°, β = 90.00°, γ = 90.00°
Space group I4/mmm (No. 139)
One atom of each set of equivalent atoms:
Sn1 0.000 0.000 0.217 (multiplicity 4)
Pb1 0.000 0.000 0.073 (multiplicity 4)
Pb2 0.000 0.000 0.353 (multiplicity 4)
Pb3 0.000 0.000 0.500 (multiplicity 2)

Output
Its electronic total energy is -52.814 eV for the cell shown. The density of states at the Fermi level comes out at 6.6 states/eV/cell. Its energy of formation is 0.0201 eV per atom. The calculation puts the volume at 428.0 Å³ per cell. The value obtained for the energy above the most stable polymorph in this dataset is 0 meV/atom.

***

Question: electronic total energy of number 6 (VTe2Pt)?
Answer: -82.278 eV for the cell shown

***

Question: Look up the volume of the sixth one.
Answer: 323.4 Å³ per cell

***

Repeat the tenth record exactly.
# CoHgBi2I

CoHgBi2I after structural relaxation (PBE, Alexandria).

a = 6.004 Å, b = 6.004 Å, c = 5.781 Å
α = 90.00°, β = 90.00°, γ = 90.00°
Space group P4/mmm (No. 123)
One atom of each set of equivalent atoms:
Co1 0.000 0.000 0.000 (multiplicity 1)
Hg1 0.500 0.500 0.000 (multiplicity 1)
Bi1 0.000 0.500 0.500 (multiplicity 2)
I1 0.500 0.500 0.500 (multiplicity 1)

Output
Its electronic total energy is -9.387 eV for the cell shown. The density of states at the Fermi level comes out at 7.0 states/eV/cell. The calculation puts the uncorrected formation energy at 1.4665 eV per atom. The calculation puts the volume at 208.4 Å³ per cell.